# Rb4AlTc2

A geometry-optimized Rb4AlTc2 structure (PBE, Alexandria via LeMat-Bulk).

Lattice parameters (Å, degrees): 7.047 7.047 9.835 69.01 69.01 90.00
Each line ends with the local moment (μB).
Positions (direct):
Tc 0.440 0.440 0.120  0.97
Tc 0.560 0.560 0.880  0.97
Rb 0.000 0.500 0.000  0.01
Rb 0.213 0.213 0.574  0.00
Rb 0.787 0.787 0.426  0.00
Rb 0.500 0.000 0.000  0.01
Al 0.000 0.000 0.000  0.06

Space group ... No. 139
Electronic total energy ... -2.797 eV/atom

=====

# Tm2AlIn

A geometry-optimized Tm2AlIn structure (PBE, Alexandria via LeMat-Bulk).

Lattice parameters (Å, degrees): 3.590 5.183 10.362 90.00 90.00 90.00
Positions (direct):
Tm 0.000 0.250 0.121
Tm 0.000 0.750 0.879
Tm 0.000 0.750 0.359
Tm 0.000 0.250 0.641
Al 0.500 0.750 0.118
Al 0.500 0.250 0.882
In 0.500 0.250 0.382
In 0.500 0.750 0.618

Space group ... No. 51
Electronic total energy ... -4.252 eV/atom